Record 1
A plane-wave DFT calculation with GGA-PBE was carried out for crystalline AcSm3Pa4N12 at its relaxed geometry.

Cell: 7.445 7.445 7.445 Å, 109.47 109.47 109.47°
Element x y z (fractional)
1 Ac 0.000 0.000 0.000
2 Sm 0.000 0.500 0.500
3 Sm 0.500 0.000 0.500
4 Sm 0.500 0.500 0.000
5 Pa 0.000 0.000 0.500
6 Pa 0.000 0.500 0.000
7 Pa 0.500 0.000 0.000
8 Pa 0.500 0.500 0.500
9 N 0.099 0.294 0.804
10 N 0.196 0.490 0.294
11 N 0.196 0.901 0.706
12 N 0.294 0.196 0.490
13 N 0.294 0.804 0.099
14 N 0.490 0.294 0.196
15 N 0.510 0.706 0.804
16 N 0.706 0.196 0.901
17 N 0.706 0.804 0.510
18 N 0.804 0.099 0.294
19 N 0.804 0.510 0.706
20 N 0.901 0.706 0.196

Calculated values
ΔE_f (raw) in eV/atom: -1.21
SG: Im-3, No. 204
Crystal system: cubic

Record 2
A plane-wave DFT calculation with GGA-PBE was carried out for crystalline Ac2PaSnN5 at its relaxed geometry.

Cell: 7.719 7.719 11.175 Å, 90.00 90.00 152.96°
Element x y z (fractional)
1 Ac 0.113 0.887 0.500
2 Ac 0.131 0.869 0.089
3 Ac 0.869 0.131 0.589
4 Ac 0.887 0.113 0.000
5 Pa 0.217 0.783 0.805
6 Pa 0.783 0.217 0.305
7 Sn 0.488 0.512 0.272
8 Sn 0.512 0.488 0.772
9 N 0.058 0.942 0.850
10 N 0.282 0.718 0.432
11 N 0.297 0.703 0.179
12 N 0.369 0.631 0.809
13 N 0.498 0.502 0.587
14 N 0.502 0.498 0.087
15 N 0.631 0.369 0.309
16 N 0.703 0.297 0.679
17 N 0.718 0.282 0.932
18 N 0.942 0.058 0.350

Calculated values
ΔE_f (raw) in eV/atom: -1.00
SG: Cmc2_1, No. 36
Crystal system: orthorhombic

Record 3
A plane-wave DFT calculation with GGA-PBE was carried out for crystalline Ac2PaSn2N2 at its relaxed geometry.

Cell: 9.142 9.142 9.142 Å, 151.37 151.37 40.94°
Element x y z (fractional)
1 Ac 0.109 0.109 0.000
2 Ac 0.891 0.891 0.000
3 Pa 0.500 0.500 0.000
4 Sn 0.302 0.302 0.000
5 Sn 0.698 0.698 0.000
6 N 0.000 0.500 0.500
7 N 0.500 0.000 0.500

Calculated values
ΔE_f (raw) in eV/atom: -0.94
SG: I4/mmm, No. 139
Crystal system: tetragonal

Record 4
A plane-wave DFT calculation with GGA-PBE was carried out for crystalline SrAcPa4N8 at its relaxed geometry.

Cell: 7.087 7.087 7.087 Å, 60.40 60.40 60.40°
Element x y z (fractional)
1 Sr 0.000 0.000 0.000
2 Ac 0.384 0.384 0.384
3 Pa 0.004 0.004 0.495
4 Pa 0.004 0.495 0.004
5 Pa 0.495 0.004 0.004
6 Pa 0.619 0.619 0.619
7 N 0.232 0.232 0.232
8 N 0.233 0.739 0.739
9 N 0.248 0.248 0.814
10 N 0.248 0.814 0.248
11 N 0.739 0.233 0.739
12 N 0.739 0.739 0.233
13 N 0.760 0.760 0.760
14 N 0.814 0.248 0.248

Calculated values
ΔE_f (raw) in eV/atom: -1.44
SG: R3m, No. 160
Crystal system: trigonal

Record 5
A plane-wave DFT calculation with GGA-PBE was carried out for crystalline SrAc2PaN4 at its relaxed geometry.

Cell: 6.481 3.753 6.571 Å, 90.00 109.68 90.00°
Element x y z (fractional)
1 Sr 0.000 0.000 0.000
2 Ac 0.000 0.500 0.500
3 Ac 0.500 0.000 0.500
4 Pa 0.500 0.500 0.000
5 N 0.282 0.000 0.779
6 N 0.295 0.500 0.216
7 N 0.705 0.500 0.784
8 N 0.718 0.000 0.221

Calculated values
ΔE_f (raw) in eV/atom: -1.18
SG: P2/m, No. 10
Crystal system: monoclinic

Record 6
A plane-wave DFT calculation with GGA-PBE was carried out for crystalline Sr2AcPaN4 at its relaxed geometry.

Cell: 6.474 3.746 6.558 Å, 90.00 110.31 90.00°
Element x y z (fractional)
1 Sr 0.000 0.000 0.000
2 Sr 0.000 0.500 0.500
3 Ac 0.500 0.000 0.500
4 Pa 0.500 0.500 0.000
5 N 0.288 0.000 0.781
6 N 0.297 0.500 0.217
7 N 0.703 0.500 0.783
8 N 0.712 0.000 0.219

Calculated values
ΔE_f (raw) in eV/atom: -1.18
SG: P2/m, No. 10
Crystal system: monoclinic

Record 7
A plane-wave DFT calculation with GGA-PBE was carried out for crystalline Sr2AcPa3N8 at its relaxed geometry.

Cell: 7.228 7.228 7.228 Å, 59.67 59.67 59.67°
Element x y z (fractional)
1 Sr 0.000 0.000 0.000
2 Sr 0.381 0.381 0.381
3 Ac 0.762 0.762 0.762
4 Pa 0.380 0.380 0.884
5 Pa 0.380 0.884 0.380
6 Pa 0.884 0.380 0.380
7 N 0.132 0.132 0.566
8 N 0.132 0.566 0.132
9 N 0.151 0.151 0.151
10 N 0.187 0.633 0.633
11 N 0.566 0.132 0.132
12 N 0.614 0.614 0.614
13 N 0.633 0.187 0.633
14 N 0.633 0.633 0.187

Calculated values
ΔE_f (raw) in eV/atom: -1.22
SG: R3m, No. 160
Crystal system: trigonal

Record 8
A plane-wave DFT calculation with GGA-PBE was carried out for crystalline Sr4AcPa3N8 at its relaxed geometry.

Cell: 7.377 7.377 7.377 Å, 59.97 59.97 59.97°
Element x y z (fractional)
1 Sr 0.000 0.000 0.000
2 Sr 0.000 0.500 0.500
3 Sr 0.500 0.000 0.500
4 Sr 0.500 0.500 0.000
5 Ac 0.500 0.500 0.500
6 Pa 0.000 0.000 0.500
7 Pa 0.000 0.500 0.000
8 Pa 0.500 0.000 0.000
9 N 0.199 0.749 0.749
10 N 0.233 0.233 0.233
11 N 0.251 0.251 0.801
12 N 0.251 0.801 0.251
13 N 0.749 0.199 0.749
14 N 0.749 0.749 0.199
15 N 0.767 0.767 0.767
16 N 0.801 0.251 0.251

Calculated values
ΔE_f (raw) in eV/atom: -1.27
SG: R-3m, No. 166
Crystal system: trigonal

Q: Which of these has the lowest ΔE_f (raw)?
A: SrAcPa4N8